An optimized crystal structure of Li4Cr3Fe3Sn2O16. Source: the Alexandria database, functional PBE with a Hubbard U.

- Distance to the lowest polymorph of the same formula: 2.12 eV/f.u.

abc: 5.971 6.021 10.185
angles: 99.17 90.64 119.19
Space group P1 (No. 1)
Asymmetric unit:
Li: 0.000 0.000 0.000 (multiplicity 1)
Li: 0.055 0.111 0.237 (multiplicity 1)
Li: 0.602 0.201 0.784 (multiplicity 1)
Li: 0.815 0.630 0.718 (multiplicity 1)
Cr: 0.273 0.541 0.536 (multiplicity 1)
Cr: 0.520 0.556 0.045 (multiplicity 1)
Cr: 0.772 0.038 0.530 (multiplicity 1)
Fe: 0.019 0.549 0.038 (multiplicity 1)
Fe: 0.270 0.034 0.526 (multiplicity 1)
Fe: 0.508 0.029 0.030 (multiplicity 1)
Sn: 0.151 0.293 0.785 (multiplicity 1)
Sn: 0.734 0.471 0.355 (multiplicity 1)
O: 0.085 0.176 0.429 (multiplicity 1)
O: 0.099 0.671 0.422 (multiplicity 1)
O: 0.198 0.900 0.123 (multiplicity 1)
O: 0.219 0.428 0.130 (multiplicity 1)
O: 0.335 0.653 0.921 (multiplicity 1)
O: 0.353 0.197 0.918 (multiplicity 1)
O: 0.437 0.399 0.656 (multiplicity 1)
O: 0.463 0.913 0.630 (multiplicity 1)
O: 0.571 0.141 0.416 (multiplicity 1)
O: 0.572 0.674 0.423 (multiplicity 1)
O: 0.695 0.405 0.151 (multiplicity 1)
O: 0.698 0.898 0.125 (multiplicity 1)
O: 0.808 0.620 0.929 (multiplicity 1)
O: 0.851 0.198 0.918 (multiplicity 1)
O: 0.966 0.398 0.653 (multiplicity 1)
O: 0.974 0.946 0.651 (multiplicity 1)